Below is an optimized crystal structure of Y5Hg2Pd, with properties calculated at the PBE level.

Lattice parameters (Å, degrees): 6.992 12.342 4.970 90.00 90.00 90.00
Space group Pbam (No. 55)
Asymmetric unit:
Y1 0.000 0.000 0.000 (multiplicity 2)
Y2 0.139 0.287 0.000 (multiplicity 4)
Y3 0.176 0.591 0.500 (multiplicity 4)
Hg1 0.096 0.842 0.500 (multiplicity 4)
Pd1 0.000 0.500 0.000 (multiplicity 2)

Calculated values
energy of formation	-0.48	eV per atom
Fermi-level density of states	13.5	states/eV per cell
size of the total moment	0.00	μB/atom